VASP calculation (PBE) on a relaxed structure of Er3Ga4Au4.

Unit cell a=3.539 b=4.582 c=27.340 alpha=90.00 beta=90.00 gamma=90.00
Space group Immm (No. 71)
Asymmetric unit:
Er: 0.000 0.000 0.000 (multiplicity 2)
Er: 0.000 0.500 0.141 (multiplicity 4)
Ga: 0.000 0.000 0.453 (multiplicity 4)
Ga: 0.000 0.500 0.313 (multiplicity 4)
Au: 0.000 0.000 0.267 (multiplicity 4)
Au: 0.000 0.500 0.407 (multiplicity 4)

Properties
- Energy relative to the lowest polymorph listed for this composition: 8.4 meV per atom
- M_tot: 0.00 Bohr magnetons per cell